First-principles (PBE) data for an optimized crystal structure of Sm2CI2, as listed in Alexandria via LeMat-Bulk.

Results
M_tot: 0.00 μB/atom
Symmetry: No. 12
Raw formation energy: -87 kJ per mole of atoms

Cell and atoms, written as POSCAR:
```
Sm2CI2
1.0
3.430 -1.980 0.000
3.430 1.980 0.000
-2.555 0.000 11.900
Sm C I
2 1 2
direct
0.210 0.210 0.115
0.790 0.790 0.885
0.500 0.500 0.000
0.055 0.055 0.699
0.945 0.945 0.301
```